Entry 1:
Density functional theory data (PBE) for an optimized crystal structure of Th2NpGe3Pt4.

Space-group type: P-4m2, No. 115

Cell: 4.338 4.338 11.052 Å, 90.00 90.00 90.00°
Site moments in Bohr magnetons follow the coordinates.
Atoms (fractional coordinates):
Th (0.500, 0.000, 0.224)  0.05
Th (0.000, 0.500, 0.776)  0.05
Np (0.500, 0.500, 0.500)  3.58
Ge (0.000, 0.000, 0.500)  -0.05
Ge (0.500, 0.000, 0.878)  -0.01
Ge (0.000, 0.500, 0.122)  -0.01
Pt (0.500, 0.500, 0.000)  -0.02
Pt (0.000, 0.000, 0.000)  -0.03
Pt (0.500, 0.000, 0.657)  -0.04
Pt (0.000, 0.500, 0.343)  -0.04

Entry 2:
Density functional theory data (PBE) for an optimized crystal structure of Ce6SnBi5.

Space-group type: C2/m, No. 12

Cell: 7.940 7.939 7.940 Å, 60.00 80.40 70.52°
Site moments in Bohr magnetons follow the coordinates.
Atoms (fractional coordinates):
Ce (0.753, 0.082, 0.329)  0.74
Ce (0.247, 0.589, 0.329)  0.74
Ce (0.249, 0.246, 0.000)  0.76
Ce (0.751, 0.754, 0.000)  0.76
Ce (0.753, 0.411, 0.671)  0.74
Ce (0.247, 0.918, 0.671)  0.74
Sn (0.000, 0.000, 0.000)  -0.04
Bi (0.500, 0.169, 0.662)  -0.04
Bi (0.000, 0.334, 0.332)  -0.04
Bi (0.500, 0.500, 0.000)  -0.04
Bi (0.000, 0.666, 0.668)  -0.04
Bi (0.500, 0.831, 0.338)  -0.04

Entry 3:
Density functional theory data (PBE) for an optimized crystal structure of PmY5HoTm2.

Space-group type: Cmc2_1, No. 36

Cell: 5.612 10.472 10.441 Å, 90.00 90.00 105.54°
Atoms (fractional coordinates):
Pm (0.804, 0.608, 0.515)
Pm (0.196, 0.392, 0.015)
Y (0.389, 0.778, 0.026)
Y (0.723, 0.446, 0.816)
Y (0.478, 0.956, 0.738)
Y (0.301, 0.603, 0.705)
Y (0.984, 0.968, 0.522)
Y (0.611, 0.222, 0.526)
Y (0.277, 0.554, 0.316)
Y (0.522, 0.044, 0.238)
Y (0.699, 0.397, 0.205)
Y (0.016, 0.032, 0.022)
Ho (0.588, 0.176, 0.949)
Ho (0.412, 0.824, 0.449)
Tm (0.888, 0.775, 0.818)
Tm (0.111, 0.222, 0.736)
Tm (0.112, 0.225, 0.318)
Tm (0.889, 0.778, 0.236)

| no. | energy of formation (meV per atom) | N(E_F) (states/eV/f.u.) | magnetization (μB per cell) |
| --- | --- | --- | --- |
| 1 | -796 | 8.1 | 3.79 |
| 2 | -741 | 33.9 | 4.70 |
| 3 | 159 | 15.6 | 0.00 |